Record 1
Here is a relaxed structure of PuUAsS from Alexandria via LeMat-Bulk. Energies are from PBE-GGA.

formation energy (no corrections): -1.213 eV/atom
total moment: 8.07 μB per formula unit
volume: 23.069 Å³/atom

abc: 3.992 3.992 7.073
angles: 73.61 73.61 60.00
Last column: magnetic moment on the atom in μB.
Sites, in units of the cell vectors:
U 0.503 0.503 0.490  2.38
S 0.250 0.250 0.250  -0.10
Pu 0.996 0.996 0.012  5.24
As 0.751 0.751 0.747  -0.10



Record 2
Here is a relaxed structure of PmNiGePt2 from Alexandria via LeMat-Bulk. Energies are from PBE-GGA.

energy of formation from the pure elements: -379 kJ/mol of formula units
total moment: 0.00 μB per formula unit
volume: 18.161 Å³/atom

abc: 4.000 4.046 6.291
angles: 108.76 108.54 90.00
Sites, in units of the cell vectors:
Pt 0.039 0.039 0.079
Pt 0.701 0.201 0.401
Ge 0.822 0.822 0.644
Ni 0.199 0.699 0.398
Pm 0.451 0.451 0.902



Record 3
Here is a relaxed structure of RbRe2BiO8 from Alexandria via LeMat-Bulk. Energies are from PBE-GGA.

formation energy (no corrections): -1.468 eV/atom
total moment: 1.99 μB per formula unit
volume: 20.385 Å³/atom

abc: 5.546 5.546 9.724
angles: 73.43 73.43 60.00
Last column: magnetic moment on the atom in μB.
Sites, in units of the cell vectors:
Re 0.247 0.247 0.260  0.56
Re 0.753 0.753 0.740  0.56
O 0.249 0.907 0.329  0.03
O 0.093 0.751 0.671  0.03
O 0.486 0.093 0.671  0.03
O 0.311 0.311 0.068  0.03
O 0.751 0.486 0.671  0.03
Bi 0.500 0.500 0.500  0.32
O 0.514 0.249 0.329  0.03
O 0.689 0.689 0.932  0.03
O 0.907 0.514 0.329  0.03
Rb 0.000 0.000 0.000  0.00



Record 4
Here is a relaxed structure of CsSeBr3 from Alexandria via LeMat-Bulk. Energies are from PBE-GGA.

formation energy (no corrections): -0.804 eV/atom
total moment: 0.00 μB per formula unit
volume: 40.876 Å³/atom

abc: 8.177 8.063 7.878
angles: 112.35 68.80 77.57
Sites, in units of the cell vectors:
Br 0.738 0.036 0.863
Se 0.621 0.335 0.844
Br 0.980 0.552 0.822
Br 0.438 0.551 0.256
Cs 0.335 0.072 0.324
Br 0.457 0.658 0.820
Br 0.823 0.129 0.429
Br 0.234 0.116 0.861
Se 0.294 0.398 0.837
Cs 0.853 0.601 0.358



Record 5
Here is a relaxed structure of CeUS2 from Alexandria via LeMat-Bulk. Energies are from PBE-GGA.

relative energy among the computed polymorphs: 403.4 meV/atom
formation energy (no corrections): -1.297 eV/atom
total moment: 4.96 μB per formula unit
volume: 20.543 Å³/atom

abc: 3.429 4.896 4.896
angles: 90.00 90.00 90.00
Last column: magnetic moment on the atom in μB.
Sites, in units of the cell vectors:
S 0.000 0.500 0.000  -0.06
U 0.500 0.500 0.500  3.02
Ce 0.500 0.000 0.000  1.18
S 0.000 0.000 0.500  -0.06



Record 6
Here is a relaxed structure of CsSbO2F from Alexandria via LeMat-Bulk. Energies are from PBE-GGA.

formation energy (no corrections): -1.650 eV/atom
total moment: 0.00 μB per formula unit
volume: 17.118 Å³/atom

abc: 4.208 4.208 4.834
angles: 90.00 90.00 90.00
Sites, in units of the cell vectors:
O 0.500 0.000 0.000
O 0.000 0.500 0.000
F 0.000 0.000 0.500
Sb 0.000 0.000 0.000
Cs 0.500 0.500 0.500



Record 7
Here is a relaxed structure of La4CSBr2 from Alexandria via LeMat-Bulk. Energies are from PBE-GGA.

formation energy (no corrections): -1.345 eV/atom
total moment: 0.00 μB per formula unit
volume: 26.646 Å³/atom

abc: 4.023 7.145 7.761
angles: 107.17 90.00 90.00
Sites, in units of the cell vectors:
S 0.000 0.000 0.000
C 0.500 0.500 0.000
La 0.500 0.261 0.198
La 0.500 0.739 0.802
Br 0.500 0.000 0.500
Br 0.000 0.500 0.500
La 0.000 0.292 0.809
La 0.000 0.708 0.191



Record 8
Here is a relaxed structure of LiMg6Sc2 from Alexandria via LeMat-Bulk. Energies are from PBE-GGA.

relative energy among the computed polymorphs: 0.0 meV/atom
energy of formation from the pure elements: 31 kJ/mol of formula units
total moment: 0.02 μB per formula unit
volume: 23.358 Å³/atom

abc: 5.959 8.750 8.148
angles: 123.04 132.81 89.70
Sites, in units of the cell vectors:
Mg 0.166 0.500 0.333
Li 0.000 0.000 0.000
Mg 0.164 0.831 0.332
Sc 0.340 0.339 0.678
Mg 0.498 0.832 0.998
Sc 0.660 0.661 0.322
Mg 0.834 0.500 0.667
Mg 0.502 0.168 0.002
Mg 0.836 0.169 0.668



Record 9
Here is a relaxed structure of YHfTa from Alexandria via LeMat-Bulk. Energies are from PBE-GGA.

relative energy among the computed polymorphs: 122.9 meV/atom
energy of formation from the pure elements: 95 kJ/mol of formula units
total moment: 0.00 μB per formula unit
volume: 23.080 Å³/atom

abc: 3.357 3.151 15.468
angles: 90.00 90.00 122.19
Sites, in units of the cell vectors:
Hf 0.247 0.494 0.500
Ta 0.640 0.279 0.349
Y 0.265 0.530 0.820
Hf 0.611 0.222 0.000
Ta 0.640 0.279 0.651
Y 0.265 0.530 0.180



Record 10
Here is a relaxed structure of ReIr2Cl from Alexandria via LeMat-Bulk. Energies are from PBE-GGA.

relative energy among the computed polymorphs: 175.6 meV/atom
formation energy (no corrections): 0.468 eV/atom
total moment: 0.00 μB per formula unit
volume: 16.994 Å³/atom

abc: 3.689 2.791 6.601
angles: 90.00 90.00 90.00
Sites, in units of the cell vectors:
Ir 0.500 0.250 0.263
Re 0.000 0.750 0.452
Cl 0.500 0.750 0.728
Ir 0.000 0.750 0.056



Record 11
Here is a relaxed structure of SrLa2Cu from Alexandria via LeMat-Bulk. Energies are from PBE-GGA.

relative energy among the computed polymorphs: 289.9 meV/atom
energy of formation from the pure elements: 113 kJ/mol of formula units
total moment: 0.00 μB per formula unit
volume: 32.436 Å³/atom

abc: 5.845 6.864 3.706
angles: 77.04 83.84 113.38
Sites, in units of the cell vectors:
La 0.000 0.000 0.000
Sr 0.000 0.500 0.500
Cu 0.500 0.500 0.000
La 0.500 0.000 0.500



Record 12
Here is a relaxed structure of Tl8As3Se8 from Alexandria via LeMat-Bulk. Energies are from PBE-GGA.

formation energy (no corrections): -0.134 eV/atom
total moment: 0.00 μB per formula unit
volume: 33.545 Å³/atom

abc: 5.431 9.652 12.578
angles: 97.92 102.47 90.00
Sites, in units of the cell vectors:
Tl 0.412 0.978 0.824
Tl 0.039 0.349 0.077
Se 0.686 0.874 0.372
Se 0.503 0.785 0.006
Tl 0.752 0.180 0.504
Tl 0.380 0.393 0.761
As 0.500 0.500 0.000
Tl 0.620 0.607 0.239
Se 0.125 0.126 0.251
Tl 0.588 0.022 0.176
Se 0.166 0.519 0.331
As 0.203 0.303 0.406
Se 0.834 0.481 0.669
Se 0.497 0.215 0.994
Tl 0.248 0.820 0.496
Tl 0.961 0.651 0.923
As 0.797 0.697 0.594
Se 0.314 0.126 0.628
Se 0.875 0.874 0.749



Record 13
Here is a relaxed structure of HoTiCuTc from Alexandria via LeMat-Bulk. Energies are from PBE-GGA.

energy of formation from the pure elements: -47 kJ/mol of formula units
total moment: 0.00 μB per formula unit
volume: 17.273 Å³/atom

abc: 4.606 4.606 4.606
angles: 60.00 60.00 60.00
Sites, in units of the cell vectors:
Ti 0.250 0.250 0.250
Tc 0.500 0.500 0.500
Ho 0.750 0.750 0.750
Cu 0.000 0.000 0.000



Record 14
Here is a relaxed structure of Ca8P5H from Alexandria via LeMat-Bulk. Energies are from PBE-GGA.

raw total energy: -61.2 eV/cell
total moment: 0.00 μB per formula unit
volume: 23.540 Å³/atom

abc: 7.537 7.537 7.537
angles: 109.73 108.95 109.73
Sites, in units of the cell vectors:
Ca 0.261 0.245 0.376
H 0.250 0.500 0.750
Ca 0.131 0.755 0.015
Ca 0.737 0.237 0.354
Ca 0.985 0.116 0.739
Ca 0.624 0.884 0.869
P 0.017 0.383 0.133
Ca 0.646 0.383 0.883
P 0.366 0.116 0.983
Ca 0.500 0.617 0.263
Ca 0.117 0.763 0.500
P 0.867 0.884 0.250
P 0.750 0.617 0.634
P 0.500 0.000 0.500



Record 15
Here is a relaxed structure of Mn2IrPt from Alexandria via LeMat-Bulk. Energies are from PBE-GGA.

relative energy among the computed polymorphs: 41.5 meV/atom
energy of formation from the pure elements: -80 kJ/mol of formula units
total moment: 8.48 μB per formula unit
volume: 14.653 Å³/atom

abc: 2.981 2.981 6.594
angles: 90.00 90.00 90.00
Last column: magnetic moment on the atom in μB.
Sites, in units of the cell vectors:
Pt 0.500 0.500 0.250  0.46
Ir 0.500 0.500 0.750  0.39
Mn 0.000 0.000 0.507  3.66
Mn 0.000 0.000 0.993  3.66



Record 16
Here is a relaxed structure of AlCrSn2N from Alexandria via LeMat-Bulk. Energies are from PBE-GGA.

formation energy (no corrections): 1.993 eV/atom
total moment: 0.45 μB per formula unit
volume: 23.296 Å³/atom

abc: 5.082 4.511 5.082
angles: 90.00 90.00 90.00
Last column: magnetic moment on the atom in μB.
Sites, in units of the cell vectors:
Cr 0.000 0.500 0.000  -0.13
N 0.500 0.500 0.500  -0.35
Al 0.000 0.000 0.000  0.00
Sn 0.000 0.000 0.500  0.04
Sn 0.500 0.000 0.000  0.04



Record 17
Here is a relaxed structure of TlSnRh2 from Alexandria via LeMat-Bulk. Energies are from PBE-GGA.

energy of formation from the pure elements: 55 kJ/mol of formula units
total moment: 0.00 μB per formula unit
volume: 19.970 Å³/atom

abc: 7.236 7.236 5.957
angles: 52.61 52.61 90.00
Sites, in units of the cell vectors:
Rh 0.143 0.625 0.250
Rh 0.375 0.393 0.750
Tl 0.750 0.250 0.500
Rh 0.875 0.857 0.750
Sn 0.500 0.500 0.000
Tl 0.000 0.000 0.000
Rh 0.607 0.125 0.250
Sn 0.250 0.750 0.500



Record 18
Here is a relaxed structure of AgBiHPt2 from Alexandria via LeMat-Bulk. Energies are from PBE-GGA.

raw total energy: -21.7 eV/cell
total moment: 0.00 μB per formula unit
volume: 15.779 Å³/atom

abc: 4.162 4.162 4.554
angles: 90.00 90.00 90.00
Sites, in units of the cell vectors:
Bi 0.500 0.500 0.500
Pt 0.000 0.500 0.000
H 0.000 0.000 0.000
Ag 0.000 0.000 0.500
Pt 0.500 0.000 0.000



Record 19
Here is a relaxed structure of Dy5Ho4Tc2 from Alexandria via LeMat-Bulk. Energies are from PBE-GGA.

energy of formation from the pure elements: 54 kJ/mol of formula units
total moment: 0.00 μB per formula unit
volume: 28.411 Å³/atom

abc: 3.617 8.344 10.358
angles: 91.54 90.00 90.00
Sites, in units of the cell vectors:
Dy 0.000 0.563 0.340
Dy 0.000 0.840 0.843
Dy 0.000 0.437 0.660
Ho 0.500 0.183 0.449
Tc 0.000 0.920 0.344
Ho 0.500 0.819 0.145
Dy 0.000 0.500 0.000
Ho 0.500 0.181 0.855
Tc 0.000 0.080 0.656
Ho 0.500 0.817 0.551
Dy 0.000 0.160 0.157



Record 20
Here is a relaxed structure of La2TlBRu from Alexandria via LeMat-Bulk. Energies are from PBE-GGA.

relative energy among the computed polymorphs: 0.0 meV/atom
energy of formation from the pure elements: -105 kJ/mol of formula units
total moment: 0.00 μB per formula unit
volume: 24.682 Å³/atom

abc: 5.521 5.521 4.048
angles: 90.00 90.00 90.00
Sites, in units of the cell vectors:
B 0.000 0.000 0.000
Tl 0.500 0.500 0.500
Ru 0.000 0.000 0.500
La 0.000 0.500 0.000
La 0.500 0.000 0.000



Record 21
Here is a relaxed structure of BiB2AsI from Alexandria via LeMat-Bulk. Energies are from PBE-GGA.

formation energy (no corrections): 1.445 eV/atom
total moment: 0.00 μB per formula unit
volume: 23.922 Å³/atom

abc: 4.432 6.091 4.432
angles: 90.00 90.00 90.00
Sites, in units of the cell vectors:
I 0.500 0.500 0.500
Bi 0.000 0.500 0.000
B 0.500 0.000 0.000
B 0.000 0.000 0.500
As 0.000 0.000 0.000



Record 22
Here is a relaxed structure of Tc5Sb from Alexandria via LeMat-Bulk. Energies are from PBE-GGA.

relative energy among the computed polymorphs: 27.9 meV/atom
formation energy (no corrections): 0.140 eV/atom
total moment: 0.69 μB per formula unit
volume: 15.596 Å³/atom

abc: 6.222 6.222 4.002
angles: 90.00 90.00 142.84
Last column: magnetic moment on the atom in μB.
Sites, in units of the cell vectors:
Tc 0.179 0.821 0.000  0.01
Tc 0.675 0.325 0.500  0.04
Tc 0.000 0.000 0.500  0.52
Tc 0.325 0.675 0.500  0.04
Tc 0.821 0.179 0.000  0.01
Sb 0.500 0.500 0.000  0.00



Record 23
Here is a relaxed structure of Fe2Co7Ir2 from Alexandria via LeMat-Bulk. Energies are from PBE-GGA.

energy of formation from the pure elements: 195 kJ/mol of formula units
total moment: 19.10 μB per formula unit
volume: 12.316 Å³/atom

abc: 4.596 6.317 6.317
angles: 82.89 120.03 120.03
Last column: magnetic moment on the atom in μB.
Sites, in units of the cell vectors:
Fe 0.500 0.245 0.755  2.81
Co 0.379 0.604 0.604  1.74
Co 0.174 0.923 0.410  1.75
Ir 0.896 0.228 0.228  0.64
Co 0.174 0.410 0.923  1.75
Ir 0.104 0.772 0.772  0.64
Co 0.826 0.077 0.590  1.75
Co 0.000 0.000 0.000  1.82
Co 0.826 0.590 0.077  1.75
Fe 0.500 0.755 0.245  2.81
Co 0.621 0.396 0.396  1.74



Record 24
Here is a relaxed structure of NaY2AgTe4 from Alexandria via LeMat-Bulk. Energies are from PBE-GGA.

formation energy (no corrections): -1.081 eV/atom
total moment: 0.00 μB per formula unit
volume: 30.665 Å³/atom

abc: 4.410 7.625 7.755
angles: 109.80 90.00 90.00
Sites, in units of the cell vectors:
Te 0.000 0.246 0.740
Te 0.500 0.756 0.747
Te 0.500 0.244 0.253
Y 0.500 0.000 0.500
Ag 0.000 0.000 0.000
Te 0.000 0.754 0.260
Na 0.500 0.500 0.000
Y 0.000 0.500 0.500



Record 25
Here is a relaxed structure of AlPbO2F from Alexandria via LeMat-Bulk. Energies are from PBE-GGA.

formation energy (no corrections): -2.341 eV/atom
total moment: 0.00 μB per formula unit
volume: 15.248 Å³/atom

abc: 5.330 5.731 5.756
angles: 119.86 90.00 90.00
Sites, in units of the cell vectors:
O 0.000 0.220 0.000
O 0.500 0.220 0.000
O 0.000 0.780 0.000
Pb 0.250 0.635 0.270
O 0.500 0.780 0.000
F 0.250 0.208 0.416
Al 0.750 0.972 0.945
Al 0.250 0.028 0.055
F 0.750 0.792 0.584
Pb 0.750 0.365 0.730